ZrPbO3 | Alexandria via LeMat-Bulk | PBEsol | relaxed; ΔE_f (raw) = -2507.2 meV/atom; SG = Pbam (55); energy = -331.0 eV per cell; total magnetic moment = 0.0 μB per formula unit
1.0
5.8727 0.0000 0.0000
0.0000 11.7750 0.0000
0.0000 0.0000 8.1767
Zr Pb O
8 8 24
direct
0.2420 0.1244 0.2497
0.2420 0.1244 0.7503
0.2580 0.6244 0.2497
0.2580 0.6244 0.7503
0.7420 0.3756 0.2497
0.7420 0.3756 0.7503
0.7580 0.8756 0.2497
0.7580 0.8756 0.7503
0.2008 0.3766 0.0000
0.2098 0.3716 0.5000
0.2902 0.8716 0.5000
0.2992 0.8766 0.0000
0.7008 0.1234 0.0000
0.7098 0.1284 0.5000
0.7902 0.6284 0.5000
0.7992 0.6234 0.0000
0.0000 0.0000 0.2284
0.0000 0.0000 0.7716
0.0000 0.5000 0.2021
0.0000 0.5000 0.7979
0.0323 0.2619 0.2818
0.0323 0.2619 0.7182
0.1995 0.5937 0.5000
0.2241 0.6578 0.0000
0.2759 0.1578 0.0000
0.3005 0.0937 0.5000
0.4677 0.7619 0.2818
0.4677 0.7619 0.7182
0.5000 0.0000 0.2021
0.5000 0.0000 0.7979
0.5000 0.5000 0.2284
0.5000 0.5000 0.7716
0.5323 0.2381 0.2818
0.5323 0.2381 0.7182
0.6995 0.9063 0.5000
0.7241 0.8422 0.0000
0.7759 0.3422 0.0000
0.8005 0.4063 0.5000
0.9677 0.7381 0.2818
0.9677 0.7381 0.7182

=====

ZrPbO3 | Alexandria via LeMat-Bulk | PBEsol | relaxed; ΔE_f (raw) = -2500.8 meV/atom; SG = Pnma (62); energy = -165.4 eV per cell; total magnetic moment = 0.0 μB per formula unit
1.0
5.8292 0.0000 0.0000
0.0000 8.2250 0.0000
0.0000 0.0000 5.8094
Zr Pb O
4 4 12
direct
0.0000 0.0000 0.0000
0.0000 0.5000 0.0000
0.5000 0.0000 0.5000
0.5000 0.5000 0.5000
0.0210 0.2500 0.4941
0.4790 0.7500 0.9941
0.5210 0.2500 0.0059
0.9790 0.7500 0.5059
0.0120 0.7500 0.0716
0.2145 0.5375 0.7141
0.2145 0.9625 0.7141
0.2855 0.0375 0.2141
0.2855 0.4625 0.2141
0.4880 0.2500 0.5716
0.5120 0.7500 0.4284
0.7145 0.5375 0.7859
0.7145 0.9625 0.7859
0.7855 0.0375 0.2859
0.7855 0.4625 0.2859
0.9880 0.2500 0.9284

=====

Zr2PbO2 | Alexandria via LeMat-Bulk | PBEsol | relaxed; ΔE_f (raw) = -2126.0 meV/atom; SG = I4/mmm (139); energy = -43.3 eV per cell; total magnetic moment = 0.0 μB per formula unit
1.0
-1.8321 1.8321 5.9386
1.8321 -1.8321 5.9386
1.8321 1.8321 -5.9386
Zr Pb O
2 1 2
direct
0.1536 0.1536 0.0000
0.8464 0.8464 0.0000
0.5000 0.5000 0.0000
0.2500 0.7500 0.5000
0.7500 0.2500 0.5000

=====

ZrPbO3 | Alexandria via LeMat-Bulk | PBEsol | relaxed; ΔE_f (raw) = -2460.4 meV/atom; SG = R-3 (148); energy = -82.3 eV per cell; total magnetic moment = 0.0 μB per formula unit
1.0
2.7882 1.6098 5.9825
-2.7882 1.6098 5.9825
0.0000 -3.2195 5.9825
Zr Pb O
2 2 6
direct
0.1623 0.1623 0.1623
0.8377 0.8377 0.8377
0.3772 0.3772 0.3772
0.6228 0.6228 0.6228
0.0667 0.4430 0.8019
0.1981 0.9333 0.5570
0.4430 0.8019 0.0667
0.5570 0.1981 0.9333
0.8019 0.0667 0.4430
0.9333 0.5570 0.1981

=====

PdO | Alexandria via LeMat-Bulk | PBEsol | relaxed; ΔE_f (raw) = -479.9 meV/atom; SG = P4_2/mmc (131); energy = -24.3 eV per cell; total magnetic moment = 0.0 μB per formula unit
1.0
3.0317 0.0000 0.0000
0.0000 3.0317 0.0000
0.0000 0.0000 5.3453
Pd O
2 2
direct
0.0000 0.5000 0.0000
0.5000 0.0000 0.5000
0.0000 0.0000 0.2500
0.0000 0.0000 0.7500

=====

Pd7O8 | Alexandria via LeMat-Bulk | PBEsol | relaxed; ΔE_f (raw) = -398.4 meV/atom; SG = Pm-3 (200); energy = -89.7 eV per cell; total magnetic moment = 2.9 μB per formula unit
1.0
5.6419 0.0000 0.0000
0.0000 5.6419 0.0000
0.0000 0.0000 5.6419
Pd O
7 8
direct
0.0000 0.0000 0.0000
0.0000 0.2533 0.5000
0.0000 0.7467 0.5000
0.2533 0.5000 0.0000
0.5000 0.0000 0.2533
0.5000 0.0000 0.7467
0.7467 0.5000 0.0000
0.2358 0.2358 0.2358
0.2358 0.2358 0.7642
0.2358 0.7642 0.2358
0.2358 0.7642 0.7642
0.7642 0.2358 0.2358
0.7642 0.2358 0.7642
0.7642 0.7642 0.2358
0.7642 0.7642 0.7642

=====

PdO2 | Alexandria via LeMat-Bulk | PBEsol | relaxed; ΔE_f (raw) = -396.3 meV/atom; SG = C2/c (15); energy = -35.3 eV per cell; total magnetic moment = 0.0 μB per formula unit
1.0
1.5228 -2.6375 0.0000
1.5228 2.6375 0.0000
-0.1610 0.0000 10.5008
Pd O
2 4
direct
0.0000 0.0000 0.0000
0.0000 0.0000 0.5000
0.3285 0.6618 0.9081
0.3382 0.6715 0.5919
0.6618 0.3285 0.4081
0.6715 0.3382 0.0919

=====

Pd2PtO | Alexandria via LeMat-Bulk | PBEsol | relaxed; ΔE_f (raw) = 515.2 meV/atom; SG = I-42d (122); energy = -44.1 eV per cell; total magnetic moment = 0.0 μB per formula unit
1.0
-2.3672 2.3672 5.9212
2.3672 -2.3672 5.9212
2.3672 2.3672 -5.9212
Pd Pt O
4 2 2
direct
0.3750 0.2316 0.3566
0.7684 0.1250 0.1434
0.8750 0.0184 0.6434
0.9816 0.6250 0.8566
0.2500 0.7500 0.5000
0.5000 0.5000 0.0000
0.0000 0.0000 0.0000
0.7500 0.2500 0.5000

=====

PdRuPtO2 | Alexandria via LeMat-Bulk | PBEsol | relaxed; ΔE_f (raw) = 798.4 meV/atom; SG = P4/mmm (123); energy = -29.6 eV per cell; total magnetic moment = 3.0 μB per formula unit
1.0
3.7409 0.0000 0.0000
0.0000 3.7409 0.0000
0.0000 0.0000 5.2553
Pd Ru Pt O
1 1 1 2
direct
0.0000 0.0000 0.0000
0.5000 0.5000 0.0000
0.5000 0.5000 0.5000
0.0000 0.5000 0.5000
0.5000 0.0000 0.5000

=====

Rb2PdS8O26 | Alexandria via LeMat-Bulk | PBEsol | relaxed; ΔE_f (raw) = -1287.3 meV/atom; SG = P-1 (2); energy = -227.2 eV per cell; total magnetic moment = 0.1 μB per formula unit
1.0
7.5933 0.0000 0.0000
2.6477 8.3174 0.0000
0.1625 2.7435 8.8418
Rb Pd S O
2 1 8 26
direct
0.1290 0.2365 0.3787
0.8710 0.7635 0.6213
0.5000 0.0000 0.0000
0.1322 0.6882 0.0177
0.2206 0.7349 0.3033
0.3312 0.8589 0.7882
0.3787 0.3418 0.7307
0.6213 0.6582 0.2693
0.6688 0.1411 0.2118
0.7794 0.2651 0.6967
0.8678 0.3118 0.9823
0.0322 0.2131 0.0769
0.1039 0.6413 0.3791
0.1538 0.8055 0.1230
0.1586 0.5212 0.1110
0.1819 0.9059 0.6758
0.2309 0.8812 0.3364
0.2530 0.5074 0.7071
0.2987 0.9844 0.8742
0.3099 0.6833 0.9268
0.3678 0.2466 0.6306
0.4153 0.2482 0.8948
0.4162 0.6038 0.3097
0.4821 0.2069 0.2459
0.5179 0.7931 0.7541
0.5838 0.3962 0.6903
0.5847 0.7518 0.1052
0.6322 0.7534 0.3694
0.6901 0.3167 0.0732
0.7013 0.0156 0.1258
0.7470 0.4926 0.2929
0.7691 0.1188 0.6636
0.8181 0.0941 0.3242
0.8414 0.4788 0.8890
0.8462 0.1945 0.8770
0.8961 0.3587 0.6209
0.9678 0.7869 0.9231

=====

SrRe2PdO | Alexandria via LeMat-Bulk | PBEsol | relaxed; ΔE_f (raw) = 2841.7 meV/atom; SG = P4/mmm (123); energy = -25.5 eV per cell; total magnetic moment = 8.3 μB per formula unit
1.0
5.3392 0.0000 0.0000
0.0000 5.3392 0.0000
0.0000 0.0000 4.0830
Sr Re Pd O
1 2 1 1
direct
0.0000 0.0000 0.0000
0.0000 0.5000 0.0000
0.5000 0.0000 0.0000
0.5000 0.5000 0.5000
0.0000 0.0000 0.5000

=====

PdRuO3 | Alexandria via LeMat-Bulk | PBEsol | relaxed; ΔE_f (raw) = 543.0 meV/atom; SG = Pm-3m (221); energy = -29.2 eV per cell; total magnetic moment = 4.8 μB per formula unit
1.0
3.8780 0.0000 0.0000
0.0000 3.8780 0.0000
0.0000 0.0000 3.8780
Pd Ru O
1 1 3
direct
0.0000 0.0000 0.0000
0.5000 0.5000 0.5000
0.0000 0.0000 0.5000
0.0000 0.5000 0.0000
0.5000 0.0000 0.0000

=====

Si2PdRuO | Alexandria via LeMat-Bulk | PBEsol | relaxed; ΔE_f (raw) = 1000.1 meV/atom; SG = P4/mmm (123); energy = -27.9 eV per cell; total magnetic moment = 0.4 μB per formula unit
1.0
4.4145 0.0000 0.0000
0.0000 4.4145 0.0000
0.0000 0.0000 4.8721
Si Pd Ru O
2 1 1 1
direct
0.0000 0.5000 0.0000
0.5000 0.0000 0.0000
0.0000 0.0000 0.5000
0.0000 0.0000 0.0000
0.5000 0.5000 0.5000

=====

Te2PdSO | Alexandria via LeMat-Bulk | PBEsol | relaxed; ΔE_f (raw) = 74.4 meV/atom; SG = P4/mmm (123); energy = -22.3 eV per cell; total magnetic moment = 0.0 μB per formula unit
1.0
5.2583 0.0000 0.0000
0.0000 5.2583 0.0000
0.0000 0.0000 3.3773
Te Pd S O
2 1 1 1
direct
0.0000 0.5000 0.0000
0.5000 0.0000 0.0000
0.0000 0.0000 0.5000
0.5000 0.5000 0.0000
0.5000 0.5000 0.5000

=====

PdSeO4 | Alexandria via LeMat-Bulk | PBEsol | relaxed; ΔE_f (raw) = -468.2 meV/atom; SG = C2/c (15); energy = -67.2 eV per cell; total magnetic moment = 0.0 μB per formula unit
1.0
3.9559 -3.0936 0.0000
3.9559 3.0936 0.0000
-1.0519 0.0000 7.6479
Pd Se O
2 2 8
direct
0.0000 0.5000 0.0000
0.5000 0.0000 0.5000
0.0688 0.9312 0.7500
0.9312 0.0688 0.2500
0.1114 0.2567 0.7866
0.2058 0.7568 0.9270
0.2432 0.7942 0.5730
0.2567 0.1114 0.2866
0.7433 0.8886 0.7134
0.7568 0.2058 0.4270
0.7942 0.2432 0.0730
0.8886 0.7433 0.2134

=====

PdSeO3 | Alexandria via LeMat-Bulk | PBEsol | relaxed; ΔE_f (raw) = -604.6 meV/atom; SG = C2/m (12); energy = -57.2 eV per cell; total magnetic moment = 0.0 μB per formula unit
1.0
3.5197 -3.4869 0.0000
3.5197 3.4869 0.0000
-3.3470 0.0000 6.1371
Pd Se O
2 2 6
direct
0.0000 0.5000 0.0000
0.5000 0.0000 0.0000
0.1660 0.1660 0.3544
0.8340 0.8340 0.6456
0.0635 0.4602 0.2858
0.1122 0.1122 0.8664
0.4602 0.0635 0.2858
0.5398 0.9365 0.7143
0.8878 0.8878 0.1336
0.9365 0.5398 0.7143

=====

Pd2SeO | Alexandria via LeMat-Bulk | PBEsol | relaxed; ΔE_f (raw) = -65.4 meV/atom; SG = I-42d (122); energy = -42.6 eV per cell; total magnetic moment = 0.0 μB per formula unit
1.0
-3.0019 3.0019 3.2984
3.0019 -3.0019 3.2984
3.0019 3.0019 -3.2984
Pd Se O
4 2 2
direct
0.0836 0.1250 0.4586
0.3750 0.9164 0.0414
0.6664 0.6250 0.5414
0.8750 0.3336 0.9586
0.2500 0.7500 0.5000
0.5000 0.5000 0.0000
0.0000 0.0000 0.0000
0.7500 0.2500 0.5000

=====

PdSeO3 | Alexandria via LeMat-Bulk | PBEsol | relaxed; ΔE_f (raw) = -618.3 meV/atom; SG = P2_1/m (11); energy = -57.3 eV per cell; total magnetic moment = 0.0 μB per formula unit
1.0
3.8862 0.0000 0.0000
0.0000 6.3592 0.0000
-0.7473 0.0000 6.0971
Pd Se O
2 2 6
direct
0.0000 0.0000 0.0000
0.0000 0.5000 0.0000
0.4341 0.2500 0.6692
0.5659 0.7500 0.3308
0.2875 0.2500 0.9426
0.2971 0.5364 0.2882
0.2971 0.9636 0.2882
0.7029 0.0364 0.7118
0.7029 0.4636 0.7118
0.7125 0.7500 0.0574

=====

SiPdO2 | Alexandria via LeMat-Bulk | PBEsol | relaxed; ΔE_f (raw) = -1599.9 meV/atom; SG = R-3m (166); energy = -28.6 eV per cell; total magnetic moment = 0.0 μB per formula unit
1.0
1.3259 0.7655 8.9246
-1.3259 0.7655 8.9246
0.0000 -1.5310 8.9246
Si Pd O
1 1 2
direct
0.0000 0.0000 0.0000
0.5000 0.5000 0.5000
0.3677 0.3677 0.3677
0.6323 0.6323 0.6323

=====

SiPdO3 | Alexandria via LeMat-Bulk | PBEsol | relaxed; ΔE_f (raw) = -1224.7 meV/atom; SG = Pm-3m (221); energy = -33.6 eV per cell; total magnetic moment = 2.0 μB per formula unit
1.0
3.5578 0.0000 0.0000
0.0000 3.5578 0.0000
0.0000 0.0000 3.5578
Si Pd O
1 1 3
direct
0.0000 0.0000 0.0000
0.5000 0.5000 0.5000
0.0000 0.0000 0.5000
0.0000 0.5000 0.0000
0.5000 0.0000 0.0000

=====

SiPdO3 | Alexandria via LeMat-Bulk | PBEsol | relaxed; ΔE_f (raw) = 8.6 meV/atom; SG = Pm-3m (221); energy = -27.4 eV per cell; total magnetic moment = 0.0 μB per formula unit
1.0
3.8655 0.0000 0.0000
0.0000 3.8655 0.0000
0.0000 0.0000 3.8655
Si Pd O
1 1 3
direct
0.0000 0.0000 0.0000
0.5000 0.5000 0.5000
0.0000 0.5000 0.5000
0.5000 0.0000 0.5000
0.5000 0.5000 0.0000